[1]
! Na3BiRh | Alexandria | PBE | relaxed; values from VASP
! symmetry	No. 221
! Fermi-level density of states	10.96	states/eV/f.u.
! E above lowest polymorph	229	meV per atom
&SYSTEM
  ibrav = 0, nat = 5, ntyp = 3
/
ATOMIC_SPECIES
Na 22.99 Na.upf
Bi 208.98 Bi.upf
Rh 102.91 Rh.upf
ATOMIC_POSITIONS angstrom
Na 0.000 0.000 2.924
Na 0.000 2.924 0.000
Na 2.924 0.000 0.000
Bi 0.000 0.000 0.000
Rh 2.924 2.924 2.924
CELL_PARAMETERS angstrom
5.849 0.000 0.000
0.000 5.849 0.000
0.000 0.000 5.849

---

[2]
! LiAc2I6 | Alexandria | PBE | relaxed; values from VASP
! symmetry	No. 14
! Fermi-level density of states	3.79	states/eV/f.u.
! formation energy from raw total energies	-1.33	eV/atom
&SYSTEM
  ibrav = 0, nat = 18, ntyp = 3
/
ATOMIC_SPECIES
Li 6.94 Li.upf
Ac 227.00 Ac.upf
I 126.90 I.upf
ATOMIC_POSITIONS angstrom
Li 0.000 0.000 0.000
Li -3.265 4.129 5.746
Ac -2.476 0.984 8.827
Ac 0.789 3.145 3.081
Ac 0.245 5.114 8.410
Ac 3.510 7.274 2.665
I -0.943 0.317 2.738
I -4.208 3.812 8.484
I 1.316 5.551 0.839
I -1.949 6.836 6.585
I 2.511 1.490 0.645
I -0.754 2.639 6.391
I 1.788 5.619 5.101
I -1.477 6.768 10.846
I 2.983 1.422 4.906
I -0.282 2.707 10.652
I 5.242 4.446 3.008
I 1.976 7.942 8.753
CELL_PARAMETERS angstrom
7.564 0.000 0.000
0.000 8.258 0.000
-6.530 0.000 11.491

---

[3]
! RuSeO2F | Alexandria | PBE | relaxed; values from VASP
! symmetry	No. 123
! Fermi-level density of states	4.05	states/eV/f.u.
! formation energy from raw total energies	0.26	eV/atom
&SYSTEM
  ibrav = 0, nat = 5, ntyp = 4
/
ATOMIC_SPECIES
Ru 101.07 Ru.upf
Se 78.96 Se.upf
O 16.00 O.upf
F 19.00 F.upf
ATOMIC_POSITIONS angstrom
Ru 0.000 0.000 0.000
Se 1.962 1.962 2.232
O 0.000 1.962 2.232
O 1.962 0.000 2.232
F 1.962 1.962 0.000
CELL_PARAMETERS angstrom
3.925 0.000 0.000
0.000 3.925 0.000
0.000 0.000 4.464

---

[4]
! BePbC2 | Alexandria | PBE | relaxed; values from VASP
! symmetry	No. 225
! Fermi-level density of states	3.01	states/eV/f.u.
! E above lowest polymorph	1102	meV per atom
&SYSTEM
  ibrav = 0, nat = 4, ntyp = 3
/
ATOMIC_SPECIES
Be 9.01 Be.upf
Pb 207.20 Pb.upf
C 12.01 C.upf
ATOMIC_POSITIONS angstrom
Be 0.000 0.000 0.000
Pb 2.927 2.927 2.927
C 1.463 1.463 1.463
C 4.390 4.390 4.390
CELL_PARAMETERS angstrom
0.000 2.927 2.927
2.927 0.000 2.927
2.927 2.927 0.000

---

[5]
! CdSBr2 | Alexandria | PBE | relaxed; values from VASP
! symmetry	No. 1
! Fermi-level density of states	0.16	states/eV/f.u.
! E above lowest polymorph	0	meV per atom
! formation energy from raw total energies	-0.54	eV/atom
&SYSTEM
  ibrav = 0, nat = 8, ntyp = 3
/
ATOMIC_SPECIES
Cd 112.41 Cd.upf
S 32.06 S.upf
Br 79.90 Br.upf
ATOMIC_POSITIONS angstrom
Cd 0.000 0.000 0.000
Cd 1.929 3.579 0.013
S 0.274 2.482 5.225
S 1.890 3.580 5.127
Br 0.278 4.905 8.745
Br 1.928 1.195 1.611
Br 2.210 8.471 8.742
Br 3.857 4.786 1.616
CELL_PARAMETERS angstrom
3.856 0.000 0.000
0.004 7.157 0.000
0.276 2.523 10.344

---

[6]
! BaSr2Nd | Alexandria | PBE | relaxed; values from VASP
! symmetry	No. 225
! Fermi-level density of states	5.74	states/eV/f.u.
! E above lowest polymorph	43	meV per atom
&SYSTEM
  ibrav = 0, nat = 4, ntyp = 3
/
ATOMIC_SPECIES
Ba 137.33 Ba.upf
Sr 87.62 Sr.upf
Nd 144.24 Nd.upf
ATOMIC_POSITIONS angstrom
Ba 0.000 0.000 0.000
Sr 2.309 2.309 2.309
Sr 6.927 6.927 6.927
Nd 4.618 4.618 4.618
CELL_PARAMETERS angstrom
0.000 4.618 4.618
4.618 0.000 4.618
4.618 4.618 0.000

---

[7]
! Nd3HoSc3 | Alexandria | PBE | relaxed; values from VASP
! symmetry	No. 148
! Fermi-level density of states	11.55	states/eV/f.u.
! E above lowest polymorph	0	meV per atom
&SYSTEM
  ibrav = 0, nat = 14, ntyp = 3
/
ATOMIC_SPECIES
Nd 144.24 Nd.upf
Ho 164.93 Ho.upf
Sc 44.96 Sc.upf
ATOMIC_POSITIONS angstrom
Nd -3.184 1.089 7.435
Nd -2.536 -2.213 10.567
Nd 0.649 -3.302 7.435
Nd -0.649 3.302 10.567
Nd 2.536 2.213 7.435
Nd 3.184 -1.089 10.567
Ho 0.000 0.000 7.349
Ho 0.000 0.000 10.653
Sc -1.875 -0.405 4.734
Sc 1.288 -1.421 4.734
Sc 0.587 1.826 4.734
Sc -0.587 -1.826 13.269
Sc -1.288 1.421 13.269
Sc 1.875 0.405 13.269
CELL_PARAMETERS angstrom
4.535 2.619 6.001
-4.535 2.619 6.001
0.000 -5.237 6.001

---

[8]
! NaNi12As6 | Alexandria | PBE | relaxed; values from VASP
! symmetry	No. 166
! Fermi-level density of states	8.94	states/eV/f.u.
! E	-5.344	eV per atom
&SYSTEM
  ibrav = 0, nat = 19, ntyp = 3
/
ATOMIC_SPECIES
Na 22.99 Na.upf
Ni 58.69 Ni.upf
As 74.92 As.upf
ATOMIC_POSITIONS angstrom
Na 0.000 0.000 0.000
Ni -1.987 -3.441 4.179
Ni -3.974 0.000 4.179
Ni -1.521 -0.878 2.964
Ni 1.521 -0.878 2.964
Ni 0.000 1.756 2.964
Ni 1.987 -3.441 4.179
Ni -1.987 3.441 4.179
Ni 0.000 -1.756 5.395
Ni -1.521 0.878 5.395
Ni 1.521 0.878 5.395
Ni 3.974 0.000 4.179
Ni 1.987 3.441 4.179
As 0.000 -2.685 3.212
As -2.325 1.343 3.212
As -2.325 -1.343 5.147
As 2.325 1.343 3.212
As 2.325 -1.343 5.147
As 0.000 2.685 5.147
CELL_PARAMETERS angstrom
5.338 3.082 2.786
-5.338 3.082 2.786
0.000 -6.164 2.786

---

[9]
! SrTb2Gd | Alexandria | PBE | relaxed; values from VASP
! symmetry	No. 166
! Fermi-level density of states	6.63	states/eV/f.u.
! E above lowest polymorph	102	meV per atom
&SYSTEM
  ibrav = 0, nat = 4, ntyp = 3
/
ATOMIC_SPECIES
Sr 87.62 Sr.upf
Tb 158.93 Tb.upf
Gd 157.25 Gd.upf
ATOMIC_POSITIONS angstrom
Sr 0.000 0.000 0.000
Tb 0.000 0.000 3.564
Tb 0.000 0.000 34.889
Gd 0.000 0.000 19.227
CELL_PARAMETERS angstrom
1.808 1.044 12.818
-1.808 1.044 12.818
0.000 -2.088 12.818

---

[10]
! MgAgBr | Alexandria | PBE | relaxed; values from VASP
! symmetry	No. 38
! Fermi-level density of states	0.73	states/eV/f.u.
! E above lowest polymorph	156	meV per atom
! formation energy from raw total energies	-0.33	eV/atom
&SYSTEM
  ibrav = 0, nat = 6, ntyp = 3
/
ATOMIC_SPECIES
Mg 24.30 Mg.upf
Ag 107.87 Ag.upf
Br 79.90 Br.upf
ATOMIC_POSITIONS angstrom
Mg 1.839 0.000 0.000
Mg 9.958 0.000 0.000
Ag 0.000 0.000 4.287
Ag 5.898 0.000 4.291
Br 3.915 0.000 2.155
Br 7.882 0.000 2.155
CELL_PARAMETERS angstrom
11.797 0.000 0.000
0.000 1.854 3.215
0.000 -1.854 3.215

---

[11]
! LiHf2AlH | Alexandria | PBE | relaxed; values from VASP
! symmetry	No. 123
! Fermi-level density of states	2.43	states/eV/f.u.
! E	-5.985	eV per atom
&SYSTEM
  ibrav = 0, nat = 5, ntyp = 4
/
ATOMIC_SPECIES
Li 6.94 Li.upf
Hf 178.49 Hf.upf
Al 26.98 Al.upf
H 1.01 H.upf
ATOMIC_POSITIONS angstrom
Li 0.000 0.000 0.000
Hf 0.000 2.170 1.998
Hf 2.170 0.000 1.998
Al 2.170 2.170 0.000
H 0.000 0.000 1.998
CELL_PARAMETERS angstrom
4.340 0.000 0.000
0.000 4.340 0.000
0.000 0.000 3.996

---

[12]
! BaRe2As | Alexandria | PBE | relaxed; values from VASP
! symmetry	No. 71
! Fermi-level density of states	3.93	states/eV/f.u.
! E	-6.880	eV per atom
&SYSTEM
  ibrav = 0, nat = 4, ntyp = 3
/
ATOMIC_SPECIES
Ba 137.33 Ba.upf
Re 186.21 Re.upf
As 74.92 As.upf
ATOMIC_POSITIONS angstrom
Ba 0.000 0.000 0.000
Re 1.476 0.000 2.971
Re 0.000 2.675 2.114
As 0.000 0.000 5.085
CELL_PARAMETERS angstrom
-1.476 2.675 5.085
1.476 -2.675 5.085
1.476 2.675 -5.085

---

[13]
! SrSb | Alexandria | PBE | relaxed; values from VASP
! symmetry	No. 176
! Fermi-level density of states	1.02	states/eV/f.u.
! formation energy from raw total energies	-0.36	eV/atom
&SYSTEM
  ibrav = 0, nat = 12, ntyp = 2
/
ATOMIC_SPECIES
Sr 87.62 Sr.upf
Sb 121.76 Sb.upf
ATOMIC_POSITIONS angstrom
Sr -0.915 4.892 1.113
Sr -2.011 9.960 1.113
Sr 3.779 3.238 3.338
Sr 2.926 8.375 1.113
Sr 8.716 1.653 3.338
Sr 7.620 6.722 3.338
Sb -3.403 7.027 1.113
Sb 2.321 5.153 1.113
Sb 5.623 0.567 3.338
Sb 1.082 11.047 1.113
Sb 4.384 6.460 3.338
Sb 10.108 4.587 3.338
CELL_PARAMETERS angstrom
13.410 0.000 0.000
-6.705 11.613 0.000
0.000 0.000 4.450

---

[14]
! K2PaRe3O12 | Alexandria | PBE | relaxed; values from VASP
! symmetry	No. 166
! Fermi-level density of states	8.00	states/eV/f.u.
! formation energy from raw total energies	-2.01	eV/atom
&SYSTEM
  ibrav = 0, nat = 18, ntyp = 4
/
ATOMIC_SPECIES
K 39.10 K.upf
Pa 231.04 Pa.upf
Re 186.21 Re.upf
O 16.00 O.upf
ATOMIC_POSITIONS angstrom
K 0.000 0.000 2.819
K 0.000 0.000 16.069
Pa 0.000 0.000 9.444
Re -1.839 -1.062 6.296
Re -1.839 1.062 12.592
Re 0.000 2.124 6.296
O -1.573 -0.908 8.229
O 0.000 -1.559 6.096
O -1.350 0.779 6.096
O 0.000 -1.816 10.660
O -1.573 0.908 10.660
O -1.350 -0.779 12.792
O 1.350 0.779 6.096
O 1.573 -0.908 8.229
O 0.000 1.816 8.229
O 1.350 -0.779 12.792
O 0.000 1.559 12.792
O 1.573 0.908 10.660
CELL_PARAMETERS angstrom
3.678 2.124 6.296
-3.678 2.124 6.296
0.000 -4.247 6.296